Entry 1:
ScCu2Sb after structural relaxation. Source: Alexandria, functional PBE.

Values from the calculation:
Raw total energy = -19.45 eV per cell
DOS at the Fermi energy = 0.488 states/eV per atom
Uncorrected formation energy = -0.20 eV per atom

The structure in CIF format:
```
data_ScCu2Sb
_chemical_formula_sum 'Sc1 Cu2 Sb1'
_space_group_name_H-M_alt 'P 1'
_space_group_IT_number 1
_space_group_name_Hall 'P 1'
_cell_length_a 4.307
_cell_length_b 3.185
_cell_length_c 5.401
_cell_angle_alpha 90.00
_cell_angle_beta 90.00
_cell_angle_gamma 90.00
loop_
_atom_site_label
_atom_site_fract_x
_atom_site_fract_y
_atom_site_fract_z
_atom_site_occupancy
Cu1 0.000 0.250 0.999 1
Cu2 0.500 0.250 0.219 1
Sc1 0.500 0.750 0.778 1
Sb1 0.000 0.250 0.504 1
```

***

Entry 2:
Sc2CuSb after structural relaxation. Source: Alexandria, functional PBE.

Values from the calculation:
Raw total energy = -22.66 eV per cell
DOS at the Fermi energy = 0.691 states/eV per atom
Uncorrected formation energy = -0.45 eV per atom

The structure in CIF format:
```
data_Sc2CuSb
_chemical_formula_sum 'Sc2 Cu1 Sb1'
_space_group_name_H-M_alt 'P 1'
_space_group_IT_number 1
_space_group_name_Hall 'P 1'
_cell_length_a 3.747
_cell_length_b 3.419
_cell_length_c 7.195
_cell_angle_alpha 61.62
_cell_angle_beta 90.00
_cell_angle_gamma 90.00
loop_
_atom_site_label
_atom_site_fract_x
_atom_site_fract_y
_atom_site_fract_z
_atom_site_occupancy
Sb1 0.500 0.750 0.750 1
Cu1 0.500 0.250 0.250 1
Sc1 0.000 0.985 0.015 1
Sc2 0.000 0.515 0.485 1
```

***

Entry 3:
ScCu2Sb after structural relaxation. Source: Alexandria, functional PBE.

Values from the calculation:
Raw total energy = -19.63 eV per cell
DOS at the Fermi energy = 0.493 states/eV per atom
Uncorrected formation energy = -0.24 eV per atom

The structure in CIF format:
```
data_ScCu2Sb
_chemical_formula_sum 'Sc1 Cu2 Sb1'
_space_group_name_H-M_alt 'P 1'
_space_group_IT_number 1
_space_group_name_Hall 'P 1'
_cell_length_a 4.311
_cell_length_b 3.163
_cell_length_c 5.390
_cell_angle_alpha 90.01
_cell_angle_beta 90.00
_cell_angle_gamma 90.00
loop_
_atom_site_label
_atom_site_fract_x
_atom_site_fract_y
_atom_site_fract_z
_atom_site_occupancy
Cu1 0.000 0.250 0.971 1
Cu2 0.000 0.250 0.529 1
Sc1 0.500 0.750 0.750 1
Sb1 0.500 0.250 0.250 1
```

***

Entry 4:
Sc2CuSb after structural relaxation. Source: Alexandria, functional PBE.

Values from the calculation:
Raw total energy = -43.74 eV per cell
DOS at the Fermi energy = 0.710 states/eV per atom
Uncorrected formation energy = -0.25 eV per atom

The structure in CIF format:
```
data_Sc2CuSb
_chemical_formula_sum 'Sc4 Cu2 Sb2'
_space_group_name_H-M_alt 'P 1'
_space_group_IT_number 1
_space_group_name_Hall 'P 1'
_cell_length_a 7.439
_cell_length_b 7.439
_cell_length_c 6.131
_cell_angle_alpha 52.65
_cell_angle_beta 52.65
_cell_angle_gamma 90.00
loop_
_atom_site_label
_atom_site_fract_x
_atom_site_fract_y
_atom_site_fract_z
_atom_site_occupancy
Cu1 0.250 0.750 0.500 1
Cu2 0.500 0.500 0.000 1
Sc1 0.375 0.409 0.750 1
Sc2 0.875 0.841 0.750 1
Sc3 0.159 0.625 0.250 1
Sc4 0.591 0.125 0.250 1
Sb1 0.750 0.250 0.500 1
Sb2 0.000 0.000 0.000 1
```